Compound: Sr3BiF
Source: the Alexandria database
Functional: PBE
Structure: optimized geometry

Geometry as extended XYZ:
```
10
Lattice="-4.329 -0.099 -1.744 -0.989 -8.576 2.943 -2.865 5.857 6.783" Properties=species:S:1:pos:R:3 pbc="T T T"
Bi -2.113 -1.945 2.231
Bi -6.072 -0.872 5.751
Sr -6.247 2.660 5.987
Sr -5.079 -3.238 3.420
Sr -1.937 -5.478 1.995
Sr -4.337 -3.317 7.831
Sr -3.105 0.420 4.562
Sr -3.847 0.500 0.151
F -2.243 -7.705 2.882
F -5.941 4.887 5.100
```

Results
Total magnetic moment in μB per atom: 0.063
Formation energy without anion corrections in eV/f.u.: -7.6
Energy relative to the lowest polymorph listed for this composition in eV/atom: 0.000
Space group: P2_1/m